{
  "formula": "OsRu2Br",
  "functional": "PBE",
  "state": "relaxed",
  "lattice_angstrom": [[-1.974, -3.087, -2.895], [2.046, -3.493, 2.329], [-2.235, -0.171, 1.707]],
  "species": ["Ru", "Os", "Br", "Ru"],
  "frac_coords": [[0.500, 0.500, 0.000], [0.000, 0.500, 0.500], [0.500, 0.000, 0.500], [0.000, 0.000, 0.000]],
  "magnetic_moment_mub_per_cell": 0.0,
  "energy_ev_per_cell": -27.3,
  "sg": "No. 123",
  "raw_formation_energy_mev_per_atom": 1028.3,
  "volume_a3_per_cell": 61.5,
  "e_above_lowest_polymorph_mev_per_atom": 403
}